No. 1
Cs2CaTe2: optimized geometry, PBE.

```
data_Cs2CaTe2
_chemical_formula_sum 'Cs4 Ca2 Te4'
_cell_length_a 9.915
_cell_length_b 9.915
_cell_length_c 4.530
_cell_angle_alpha 90.00
_cell_angle_beta 90.00
_cell_angle_gamma 90.00
_space_group_name_H-M_alt 'P 4/m b m'
_space_group_IT_number 127
_space_group_name_Hall '-P 4 2ab'
loop_
_atom_site_label
_atom_site_type_symbol
_atom_site_fract_x
_atom_site_fract_y
_atom_site_fract_z
_atom_site_occupancy
Cs1 Cs 0.121 0.379 0.000 1
Ca1 Ca 0.000 0.000 0.000 1
Te1 Te 0.183 0.683 0.500 1
```

Calculated values
calculated volume: 223 Å³/f.u.
energy above the most stable polymorph in this dataset: 702.1 meV/atom
Fermi-level density of states: 0.23 states/eV per cell



No. 2
OsAuSe2: optimized geometry, PBE.

```
data_OsAuSe2
_chemical_formula_sum 'Os2 Au2 Se4'
_cell_length_a 7.493
_cell_length_b 7.465
_cell_length_c 2.719
_cell_angle_alpha 90.00
_cell_angle_beta 91.02
_cell_angle_gamma 90.00
_space_group_name_H-M_alt 'C 1 2/m 1'
_space_group_IT_number 12
_space_group_name_Hall '-C 2y'
loop_
_atom_site_label
_atom_site_type_symbol
_atom_site_fract_x
_atom_site_fract_y
_atom_site_fract_z
_atom_site_occupancy
Os1 Os 0.000 0.000 0.000 1
Au1 Au 0.000 0.500 0.000 1
Se1 Se 0.250 0.250 0.000 1
```

Calculated values
calculated volume: 76 Å³/f.u.
energy above the most stable polymorph in this dataset: 554.5 meV/atom
Fermi-level density of states: 9.26 states/eV per cell



No. 3
Y2BeSi: optimized geometry, PBE.

```
data_Y2BeSi
_chemical_formula_sum 'Y4 Be2 Si2'
_cell_length_a 4.057
_cell_length_b 5.462
_cell_length_c 8.028
_cell_angle_alpha 90.00
_cell_angle_beta 90.00
_cell_angle_gamma 90.00
_space_group_name_H-M_alt 'C m m 2'
_space_group_IT_number 35
_space_group_name_Hall 'C 2 -2'
loop_
_atom_site_label
_atom_site_type_symbol
_atom_site_fract_x
_atom_site_fract_y
_atom_site_fract_z
_atom_site_occupancy
Y1 Y 0.000 0.000 0.000 1
Y2 Y 0.000 0.500 0.370 1
Be1 Be 0.000 0.000 0.625 1
Si1 Si 0.000 0.500 0.742 1
```

Calculated values
calculated volume: 89 Å³/f.u.
energy above the most stable polymorph in this dataset: 448.3 meV/atom
Fermi-level density of states: 5.46 states/eV per cell



No. 4
SrScAs2: optimized geometry, PBE.

```
data_SrScAs2
_chemical_formula_sum 'Sr2 Sc2 As4'
_cell_length_a 4.438
_cell_length_b 5.930
_cell_length_c 7.556
_cell_angle_alpha 90.00
_cell_angle_beta 90.00
_cell_angle_gamma 90.00
_space_group_name_H-M_alt 'I m m m'
_space_group_IT_number 71
_space_group_name_Hall '-I 2 2'
loop_
_atom_site_label
_atom_site_type_symbol
_atom_site_fract_x
_atom_site_fract_y
_atom_site_fract_z
_atom_site_occupancy
Sr1 Sr 0.000 0.000 0.000 1
Sc1 Sc 0.000 0.000 0.500 1
As1 As 0.000 0.500 0.221 1
```

Calculated values
calculated volume: 99 Å³/f.u.
energy above the most stable polymorph in this dataset: 256.4 meV/atom
Fermi-level density of states: 3.96 states/eV per cell
formation energy from the elements: -834 meV/atom



No. 5
HfCrGa2: optimized geometry, PBE.

```
data_HfCrGa2
_chemical_formula_sum 'Hf3 Cr3 Ga6'
_cell_length_a 3.0550
_cell_length_b 3.0550
_cell_length_c 26.0745
_cell_angle_alpha 90.00
_cell_angle_beta 90.00
_cell_angle_gamma 120.00
_space_group_name_H-M_alt 'R -3 m'
_space_group_IT_number 166
_space_group_name_Hall '-R 3 2"'
loop_
_atom_site_label
_atom_site_type_symbol
_atom_site_fract_x
_atom_site_fract_y
_atom_site_fract_z
_atom_site_occupancy
Hf1 Hf 0.0000 0.0000 0.0000 1
Cr1 Cr 0.0000 0.0000 0.5000 1
Ga1 Ga 0.0000 0.0000 0.2433 1
```

Calculated values
calculated volume: 70 Å³/f.u.
energy above the most stable polymorph in this dataset: 348.7 meV/atom
Fermi-level density of states: 9.30 states/eV per cell
formation energy from the elements: 28 meV/atom



No. 6
LiSc3I8: optimized geometry, PBE.

```
data_LiSc3I8
_chemical_formula_sum 'Li2 Sc6 I16'
_cell_length_a 14.378
_cell_length_b 8.298
_cell_length_c 9.134
_cell_angle_alpha 90.00
_cell_angle_beta 122.42
_cell_angle_gamma 90.00
_space_group_name_H-M_alt 'C 1 2/m 1'
_space_group_IT_number 12
_space_group_name_Hall '-C 2y'
loop_
_atom_site_label
_atom_site_type_symbol
_atom_site_fract_x
_atom_site_fract_y
_atom_site_fract_z
_atom_site_occupancy
Li1 Li 0.000 0.000 0.000 1
Sc1 Sc 0.000 0.500 0.000 1
Sc2 Sc 0.250 0.250 0.000 1
I1 I 0.008 0.251 0.777 1
I2 I 0.244 0.000 0.223 1
I3 I 0.245 0.500 0.230 1
```

Calculated values
calculated volume: 460 Å³/f.u.
uncorrected energy: -95.08 eV/cell
Fermi-level density of states: 6.91 states/eV per cell



No. 7
RbMg2Sn: optimized geometry, PBE.

```
data_RbMg2Sn
_chemical_formula_sum 'Rb2 Mg4 Sn2'
_cell_length_a 4.907
_cell_length_b 4.907
_cell_length_c 11.361
_cell_angle_alpha 90.00
_cell_angle_beta 90.00
_cell_angle_gamma 90.00
_space_group_name_H-M_alt 'P 4/n m m'
_space_group_IT_number 129
loop_
_space_group_symop_operation_xyz
'x,y,z'
'-x,-y,-z'
'-y+1/2,x,z'
'y+1/2,-x,-z'
'-x+1/2,-y+1/2,z'
'x+1/2,y+1/2,-z'
'y,-x+1/2,z'
'-y,x+1/2,-z'
'x+1/2,-y,-z'
'-x+1/2,y,z'
'-y,-x,-z'
'y,x,z'
'-x,y+1/2,-z'
'x,-y+1/2,z'
'y+1/2,x+1/2,-z'
'-y+1/2,-x+1/2,z'
loop_
_atom_site_label
_atom_site_type_symbol
_atom_site_fract_x
_atom_site_fract_y
_atom_site_fract_z
_atom_site_occupancy
Rb1 Rb 0.250 0.250 0.239 1
Mg1 Mg 0.250 0.250 0.916 1
Mg2 Mg 0.250 0.750 0.500 1
Sn1 Sn 0.250 0.250 0.649 1
```

Calculated values
calculated volume: 137 Å³/f.u.
Fermi-level density of states: 4.81 states/eV per cell
formation energy from the elements: -8 meV/atom



No. 8
Mg2Al5Pd12: optimized geometry, PBE.

```
data_Mg2Al5Pd12
_chemical_formula_sum 'Mg4 Al10 Pd24'
_cell_length_a 14.461
_cell_length_b 5.563
_cell_length_c 8.309
_cell_angle_alpha 90.00
_cell_angle_beta 105.91
_cell_angle_gamma 90.00
_space_group_name_H-M_alt 'C 1 2/m 1'
_space_group_IT_number 12
_space_group_name_Hall '-C 2y'
loop_
_atom_site_label
_atom_site_type_symbol
_atom_site_fract_x
_atom_site_fract_y
_atom_site_fract_z
_atom_site_occupancy
Mg1 Mg 0.000 0.248 0.000 1
Al1 Al 0.000 0.000 0.500 1
Al2 Al 0.157 0.500 0.848 1
Al3 Al 0.185 0.500 0.353 1
Pd1 Pd 0.009 0.500 0.334 1
Pd2 Pd 0.092 0.000 0.289 1
Pd3 Pd 0.159 0.250 0.593 1
Pd4 Pd 0.190 0.248 0.104 1
```

Calculated values
calculated volume: 321 Å³/f.u.
Fermi-level density of states: 13.42 states/eV per cell
formation energy from the elements: -534 meV/atom



No. 9
Y2Tm4In: optimized geometry, PBE.

```
data_Y2Tm4In
_chemical_formula_sum 'Y6 Tm12 In3'
_cell_length_a 4.6637
_cell_length_b 4.6637
_cell_length_c 38.3705
_cell_angle_alpha 90.00
_cell_angle_beta 90.00
_cell_angle_gamma 120.00
_space_group_name_H-M_alt 'R -3 m'
_space_group_IT_number 166
_space_group_name_Hall '-R 3 2"'
loop_
_atom_site_label
_atom_site_type_symbol
_atom_site_fract_x
_atom_site_fract_y
_atom_site_fract_z
_atom_site_occupancy
Y1 Y 0.0000 0.0000 0.1938 1
Tm1 Tm 0.0000 0.0000 0.0871 1
Tm2 Tm 0.0000 0.0000 0.2984 1
In1 In 0.0000 0.0000 0.0000 1
```

Calculated values
calculated volume: 241 Å³/f.u.
Fermi-level density of states: 34.52 states/eV per cell
formation energy from the elements: 398 meV/atom



No. 10
Ho2MgAl9: optimized geometry, PBE.

```
data_Ho2MgAl9
_chemical_formula_sum 'Ho2 Mg1 Al9'
_cell_length_a 4.226
_cell_length_b 4.226
_cell_length_c 12.588
_cell_angle_alpha 90.00
_cell_angle_beta 90.00
_cell_angle_gamma 90.00
_space_group_name_H-M_alt 'P 4/m m m'
_space_group_IT_number 123
_space_group_name_Hall '-P 4 2'
loop_
_atom_site_label
_atom_site_type_symbol
_atom_site_fract_x
_atom_site_fract_y
_atom_site_fract_z
_atom_site_occupancy
Ho1 Ho 0.000 0.000 0.169 1
Mg1 Mg 0.000 0.000 0.500 1
Al1 Al 0.000 0.500 0.000 1
Al2 Al 0.000 0.500 0.342 1
Al3 Al 0.500 0.500 0.167 1
Al4 Al 0.500 0.500 0.500 1
```

Calculated values
calculated volume: 225 Å³/f.u.
Fermi-level density of states: 4.12 states/eV per cell
formation energy from the elements: -265 meV/atom



No. 11
Ba2Hf2Mo: optimized geometry, PBE.

```
data_Ba2Hf2Mo
_chemical_formula_sum 'Ba4 Hf4 Mo2'
_cell_length_a 7.027
_cell_length_b 7.027
_cell_length_c 6.320
_cell_angle_alpha 90.00
_cell_angle_beta 90.00
_cell_angle_gamma 90.00
_space_group_name_H-M_alt 'P 4/m b m'
_space_group_IT_number 127
_space_group_name_Hall '-P 4 2ab'
loop_
_atom_site_label
_atom_site_type_symbol
_atom_site_fract_x
_atom_site_fract_y
_atom_site_fract_z
_atom_site_occupancy
Ba1 Ba 0.175 0.325 0.000 1
Hf1 Hf 0.167 0.667 0.500 1
Mo1 Mo 0.000 0.000 0.500 1
```

Calculated values
calculated volume: 156 Å³/f.u.
energy above the most stable polymorph in this dataset: 0.0 meV/atom
Fermi-level density of states: 19.62 states/eV per cell
formation energy from the elements: 742 meV/atom



No. 12
LiPtW3: optimized geometry, PBE.

```
data_LiPtW3
_chemical_formula_sum 'Li1 Pt1 W3'
_cell_length_a 4.203
_cell_length_b 4.203
_cell_length_c 4.203
_cell_angle_alpha 90.00
_cell_angle_beta 90.00
_cell_angle_gamma 90.00
_space_group_name_H-M_alt 'P m -3 m'
_space_group_IT_number 221
_space_group_name_Hall '-P 4 2 3'
loop_
_atom_site_label
_atom_site_type_symbol
_atom_site_fract_x
_atom_site_fract_y
_atom_site_fract_z
_atom_site_occupancy
Li1 Li 0.000 0.000 0.000 1
Pt1 Pt 0.500 0.500 0.500 1
W1 W 0.000 0.000 0.500 1
```

Calculated values
calculated volume: 74 Å³/f.u.
energy above the most stable polymorph in this dataset: 0.0 meV/atom
Fermi-level density of states: 2.41 states/eV per cell
formation energy from the elements: 1173 meV/atom



No. 13
RbCd4Au9: optimized geometry, PBE.

```
data_RbCd4Au9
_chemical_formula_sum 'Rb4 Cd16 Au36'
_cell_length_a 9.546
_cell_length_b 9.546
_cell_length_c 13.460
_cell_angle_alpha 90.00
_cell_angle_beta 90.00
_cell_angle_gamma 90.00
_space_group_name_H-M_alt 'I 4/m c m'
_space_group_IT_number 140
_space_group_name_Hall '-I 4 2c'
loop_
_atom_site_label
_atom_site_type_symbol
_atom_site_fract_x
_atom_site_fract_y
_atom_site_fract_z
_atom_site_occupancy
Rb1 Rb 0.000 0.000 0.250 1
Cd1 Cd 0.184 0.316 0.121 1
Au1 Au 0.000 0.500 0.000 1
Au2 Au 0.057 0.201 0.500 1
Au3 Au 0.117 0.383 0.320 1
```

Calculated values
calculated volume: 307 Å³/f.u.
Fermi-level density of states: 14.88 states/eV per cell
formation energy from the elements: -178 meV/atom



No. 14
ThIrPdPb: optimized geometry, PBE.

```
data_ThIrPdPb
_chemical_formula_sum 'Th4 Ir4 Pd4 Pb4'
_cell_length_a 7.036
_cell_length_b 7.036
_cell_length_c 7.036
_cell_angle_alpha 90.00
_cell_angle_beta 90.00
_cell_angle_gamma 90.00
_space_group_name_H-M_alt 'F -4 3 m'
_space_group_IT_number 216
_space_group_name_Hall 'F -4 2 3'
loop_
_atom_site_label
_atom_site_type_symbol
_atom_site_fract_x
_atom_site_fract_y
_atom_site_fract_z
_atom_site_occupancy
Th1 Th 0.000 0.000 0.000 1
Ir1 Ir 0.250 0.250 0.250 1
Pd1 Pd 0.250 0.250 0.750 1
Pb1 Pb 0.000 0.000 0.500 1
```

Calculated values
calculated volume: 87 Å³/f.u.
Fermi-level density of states: 16.35 states/eV per cell
formation energy from the elements: -460 meV/atom



No. 15
SrIn2Si: optimized geometry, PBE.

```
data_SrIn2Si
_chemical_formula_sum 'Sr2 In4 Si2'
_cell_length_a 9.193
_cell_length_b 4.273
_cell_length_c 6.238
_cell_angle_alpha 90.00
_cell_angle_beta 112.10
_cell_angle_gamma 90.00
_space_group_name_H-M_alt 'C 1 m 1'
_space_group_IT_number 8
_space_group_name_Hall 'C -2y'
loop_
_atom_site_label
_atom_site_type_symbol
_atom_site_fract_x
_atom_site_fract_y
_atom_site_fract_z
_atom_site_occupancy
Sr1 Sr 0.000 0.000 0.000 1
In1 In 0.047 0.500 0.565 1
In2 In 0.282 0.500 0.337 1
Si1 Si 0.265 0.000 0.654 1
```

Calculated values
calculated volume: 114 Å³/f.u.
uncorrected energy: -26.24 eV/cell
Fermi-level density of states: 3.06 states/eV per cell



No. 16
CsZrTl3: optimized geometry, PBE.

```
data_CsZrTl3
_chemical_formula_sum 'Cs1 Zr1 Tl3'
_cell_length_a 5.840
_cell_length_b 5.840
_cell_length_c 5.840
_cell_angle_alpha 90.00
_cell_angle_beta 90.00
_cell_angle_gamma 90.00
_space_group_name_H-M_alt 'P m -3 m'
_space_group_IT_number 221
_space_group_name_Hall '-P 4 2 3'
loop_
_atom_site_label
_atom_site_type_symbol
_atom_site_fract_x
_atom_site_fract_y
_atom_site_fract_z
_atom_site_occupancy
Cs1 Cs 0.000 0.000 0.000 1
Zr1 Zr 0.500 0.500 0.500 1
Tl1 Tl 0.000 0.500 0.500 1
```

Calculated values
calculated volume: 199 Å³/f.u.
energy above the most stable polymorph in this dataset: 0.0 meV/atom
Fermi-level density of states: 6.38 states/eV per cell
formation energy from the elements: 182 meV/atom